DFT (GGA+U) results for a relaxed Li2FeF6 crystal.

Properties
Relative energy among the computed polymorphs = 30 meV per atom
M_tot = 3.3 μB per formula unit
Crystal system = monoclinic
Uncorrected energy = -4.6572 eV per atom

Lattice parameters (Å, degrees): 8.7570 8.7570 4.5228 90.07 90.07 58.85
Fractional coordinates of all 27 atoms:
1 Li 0.1522 0.8478 0.0000
2 Li 0.1671 0.4891 0.9725
3 Li 0.4891 0.1671 0.9725
4 Li 0.5109 0.8329 0.0275
5 Li 0.8329 0.5109 0.0275
6 Li 0.8478 0.1522 0.0000
7 Fe 0.1675 0.1675 0.4843
8 Fe 0.5000 0.5000 0.0000
9 Fe 0.8325 0.8325 0.5157
10 F 0.0331 0.7290 0.2856
11 F 0.0635 0.0635 0.2324
12 F 0.0655 0.3706 0.2493
13 F 0.2710 0.9669 0.7144
14 F 0.2723 0.2723 0.7325
15 F 0.2928 0.6069 0.7865
16 F 0.3706 0.0655 0.2493
17 F 0.3931 0.7072 0.2135
18 F 0.3964 0.3964 0.2104
19 F 0.6036 0.6036 0.7896
20 F 0.6069 0.2928 0.7865
21 F 0.6294 0.9345 0.7507
22 F 0.7072 0.3931 0.2135
23 F 0.7277 0.7277 0.2675
24 F 0.7290 0.0331 0.2856
25 F 0.9345 0.6294 0.7507
26 F 0.9365 0.9365 0.7676
27 F 0.9669 0.2710 0.7144